a:
VASP calculation (PBE-GGA) on a relaxed structure of Lu3As.

Unit cell a=3.8909 b=3.8937 c=7.3794 alpha=90.00 beta=90.00 gamma=90.00
Last column: nearest neighbours and their distance in Å.
Element x y z (fractional)
Lu  0.0000  0.0000  0.0000  6 Lu 3.29-3.44, 2 As 3.30
Lu  0.0000  0.5000  0.3598  4 As 2.75
Lu  0.5000  0.5000  0.7200  2 As 3.29, 6 Lu 3.29-3.44
As  0.5000  0.0000  0.3611  4 Lu 2.75

b:
VASP calculation (PBE-GGA) on a relaxed structure of Lu3As.

Unit cell a=6.2617 b=6.2617 c=6.2617 alpha=145.73 beta=132.62 gamma=59.76
Last column: nearest neighbours and their distance in Å.
Element x y z (fractional)
Lu  0.0000  0.0000  0.0000  4 As 3.12, 4 Lu 3.37
Lu  0.2936  0.7936  0.5000  2 As 2.90
Lu  0.7064  0.2064  0.5000  2 As 2.90
As  0.5000  0.5000  0.0000  8 Lu 2.90-3.12

Stability check: which of them is least stable? a.

a:
VASP calculation (PBE-GGA) on a relaxed structure of LuPuAs.

Unit cell a=6.2259 b=6.2259 c=6.2259 alpha=146.27 beta=146.27 gamma=48.44
Last column: nearest neighbours and their distance in Å.
Element x y z (fractional)
Lu  0.0000  0.0000  0.0000  4 As 2.94, 1 Pu 3.17
Pu  0.7210  0.7210  0.0000  4 As 3.07, 1 Lu 3.17
As  0.3716  0.3716  0.0000  4 Lu 2.94, 4 Pu 3.07

b:
VASP calculation (PBE-GGA) on a relaxed structure of LuPuAs.

Unit cell a=4.7382 b=4.7382 c=3.8973 alpha=90.00 beta=90.00 gamma=120.00
Last column: nearest neighbours and their distance in Å.
Element x y z (fractional)
Lu  0.0000  0.0000  0.0000  3 As 2.74
Pu  0.6667  0.3333  0.5009  6 As 3.35-3.37, 6 Lu 3.36
As  0.3333  0.6667  0.0063  3 Lu 2.74

Stability check: which of them is least stable? b.

a:
VASP calculation (PBE-GGA) on a relaxed structure of TbLuAs.

Unit cell a=6.2108 b=6.2108 c=6.2108 alpha=145.75 beta=145.75 gamma=49.22
Last column: nearest neighbours and their distance in Å.
Element x y z (fractional)
Tb  0.0000  0.0000  0.0000  4 As 3.11, 1 Lu 3.22
Lu  0.7145  0.7145  0.0000  4 As 2.99, 1 Tb 3.22
As  0.3473  0.3473  0.0000  4 Lu 2.99, 4 Tb 3.11

b:
VASP calculation (PBE-GGA) on a relaxed structure of TbLuAs.

Unit cell a=4.6648 b=4.6648 c=4.1753 alpha=90.00 beta=90.00 gamma=120.00
Last column: nearest neighbours and their distance in Å.
Element x y z (fractional)
Tb  0.0000  0.0000  0.0000  3 As 3.01
Lu  0.6667  0.3333  0.5011  3 As 2.79
As  0.3333  0.6667  0.6759  3 Lu 2.79, 3 Tb 3.01

Stability check: which of them is least stable? b.